This record from Alexandria via LeMat-Bulk describes an optimized crystal structure of Li2AlSbW. The functional is PBE.

a b c (Å): 4.6280 5.1556 4.6280
angles (deg): 90.00 90.00 90.00
Site moments in Bohr magnetons follow the coordinates.
Sites, in units of the cell vectors:
Sb  0.0000  0.0000  0.0000  -0.01
Al  0.5000  0.5000  0.5000  -0.02
W  0.0000  0.5000  0.0000  0.61
Li  0.0000  0.0000  0.5000  0.00
Li  0.5000  0.0000  0.0000  0.00

## Properties
Raw formation energy (eV per atom): 0.8784
Raw total energy (eV/atom): -4.051
Space-group type: No. 123
Total magnetization (μB/atom): 0.15